Record 1
The following is a PBE calculation of TaAl2Re after structural relaxation, from the Alexandria database.

```
TaAl2Re
1.0
4.968 0.001 0.000
1.907 4.588 0.000
-3.437 -2.295 2.757
Re Al Ta
1 2 1
Cartesian
0.953 2.294 1.379
0.000 0.000 0.000
3.437 2.295 0.000
2.484 0.001 1.379
```

ΔH_f (0 K) = -0.104 eV/atom
Space group = No. 139
VASP energy = -8.0509 eV per atom

Record 2
The following is a PBE calculation of TaAl2Re after structural relaxation, from the Alexandria database.

```
TaAl2Re
1.0
5.081 0.002 0.000
2.088 4.631 0.000
-3.233 -2.861 2.679
Re Al Ta
1 2 1
Cartesian
3.555 2.298 0.000
0.010 0.006 0.000
2.658 -0.308 1.339
1.298 2.094 1.340
```

ΔH_f (0 K) = -0.180 eV/atom
Space group = No. 44
VASP energy = -8.1264 eV per atom

Record 3
The following is a PBE calculation of TaAl2Re after structural relaxation, from the Alexandria database.

```
TaAl2Re
1.0
3.269 0.000 0.000
0.000 3.269 0.000
0.000 0.000 5.897
Re Al Ta
1 2 1
Cartesian
0.000 0.000 2.925
0.000 0.000 0.067
1.634 1.634 1.505
1.634 1.634 4.349
```

ΔH_f (0 K) = -0.306 eV/atom
Space group = No. 99
VASP energy = -8.2521 eV per atom

What did the second record say?
The following is a PBE calculation of TaAl2Re after structural relaxation, from the Alexandria database.

```
TaAl2Re
1.0
5.081 0.002 0.000
2.088 4.631 0.000
-3.233 -2.861 2.679
Re Al Ta
1 2 1
Cartesian
3.555 2.298 0.000
0.010 0.006 0.000
2.658 -0.308 1.339
1.298 2.094 1.340
```

ΔH_f (0 K) = -0.180 eV/atom
Space group = No. 44
VASP energy = -8.1264 eV per atom

Q: Among the records above, which one has the lowest VASP energy?
A: number 3

Q: Which of these has the lowest ΔH_f (0 K)?
A: number 3